1.
CdPt2W: PBEsol geometry, meta-GGA SCAN.

Geometry as POSCAR:
```
CdPt2W
1.0
2.786 0.000 0.000
0.000 4.022 0.000
0.000 0.000 5.755
Cd Pt W
1 2 1
direct
0.000 0.000 0.000 Cd
0.000 0.000 0.508 Pt
0.500 0.500 0.234 Pt
0.500 0.500 0.697 W
```

## Properties
Its space group is Pmm2. Its formation energy is 7.4 meV/atom.

---

2.
MgPI2N: PBEsol geometry, meta-GGA SCAN.

Geometry as POSCAR:
```
MgPI2N
1.0
5.702 0.000 0.000
0.000 5.702 0.000
0.000 0.000 3.456
Mg P I N
1 1 2 1
direct
0.000 0.000 0.000 Mg
0.500 0.500 0.500 P
0.000 0.500 0.500 I
0.500 0.000 0.500 I
0.500 0.500 0.000 N
```

## Properties
Its space group is P4/mmm. As for the energy relative to the elements, uncorrected: 0.38 eV/atom.

---

3.
Ti2Ge2Ir: PBEsol geometry, meta-GGA SCAN.

Geometry as POSCAR:
```
Ti2Ge2Ir
1.0
6.271 0.000 0.000
0.000 6.271 0.000
0.000 0.000 3.884
Ti Ge Ir
4 4 2
direct
0.164 0.336 0.000 Ti
0.336 0.836 0.000 Ti
0.664 0.164 0.000 Ti
0.836 0.664 0.000 Ti
0.139 0.639 0.500 Ge
0.361 0.139 0.500 Ge
0.639 0.861 0.500 Ge
0.861 0.361 0.500 Ge
0.000 0.000 0.500 Ir
0.500 0.500 0.500 Ir
```

## Properties
Its space group is P4/mbm. Its formation energy is -778.8 meV/atom.

---

4.
KMoP2: PBEsol geometry, meta-GGA SCAN.

Geometry as POSCAR:
```
KMoP2
1.0
-1.531 1.693 7.687
1.531 -1.693 7.687
1.531 1.693 -7.687
K Mo P
1 1 2
direct
0.000 0.000 0.000 K
0.241 0.741 0.500 Mo
0.358 0.358 0.000 P
0.677 0.177 0.500 P
```

## Properties
The value obtained for the offset from the most stable computed form is 0.0 meV per atom. Its space group is Imm2. Its formation energy is -268.8 meV/atom.

---

5.
CdPdNF2: PBEsol geometry, meta-GGA SCAN.

Geometry as POSCAR:
```
CdPdNF2
1.0
4.212 0.000 0.000
0.000 4.212 0.000
0.000 0.000 4.317
Cd Pd N F
1 1 1 2
direct
0.000 0.000 0.000 Cd
0.500 0.500 0.500 Pd
0.000 0.000 0.500 N
0.000 0.500 0.000 F
0.500 0.000 0.000 F
```

## Properties
Its space group is P4/mmm. As for the energy relative to the elements, uncorrected: 0.05 eV/atom.

---

6.
RbNi3S: PBEsol geometry, meta-GGA SCAN.

Geometry as POSCAR:
```
RbNi3S
1.0
4.319 0.000 0.000
0.000 4.319 0.000
0.000 0.000 4.319
Rb Ni S
1 3 1
direct
0.000 0.000 0.000 Rb
0.000 0.500 0.500 Ni
0.500 0.000 0.500 Ni
0.500 0.500 0.000 Ni
0.500 0.500 0.500 S
```

## Properties
Its space group is Pm-3m. As for the energy relative to the elements, uncorrected: 0.32 eV/atom.

---

7.
YTl: PBEsol geometry, meta-GGA SCAN.

Geometry as POSCAR:
```
YTl
1.0
6.688 0.000 0.000
0.000 5.001 0.000
0.000 0.000 6.315
Y Tl
4 4
direct
0.137 0.250 0.134 Y
0.363 0.750 0.634 Y
0.637 0.250 0.366 Y
0.863 0.750 0.866 Y
0.098 0.250 0.631 Tl
0.402 0.750 0.131 Tl
0.598 0.250 0.869 Tl
0.902 0.750 0.369 Tl
```

## Properties
Its space group is Pnma. Its formation energy is -590.4 meV/atom.

---

8.
InRe2Ni: PBEsol geometry, meta-GGA SCAN.

Geometry as POSCAR:
```
InRe2Ni
1.0
2.750 0.000 0.000
0.000 3.851 0.000
0.000 0.000 5.744
In Re Ni
1 2 1
direct
0.000 0.000 0.000 In
0.500 0.500 0.295 Re
0.500 0.500 0.705 Re
0.000 0.000 0.500 Ni
```

## Properties
Its space group is Pmmm. Its formation energy is 487.4 meV/atom.